[1]
YZnAs2 | Alexandria via LeMat-Bulk | meta-GGA SCAN | single point on PBEsol structure; calculated total energy = -20.971 eV/atom; symmetry = P2/m, No. 10; energy of formation from the pure elements = -537 meV per atom; V = 78 Å³/cell
1.0
3.712 0.000 0.000
0.000 3.654 0.000
-0.229 0.000 5.765
Y Zn As
1 1 2
Direct
0.000 0.000 0.000 Y
0.000 0.000 0.500 Zn
0.478 0.500 0.744 As
0.522 0.500 0.256 As



[2]
Y3ZnAs | Alexandria via LeMat-Bulk | meta-GGA SCAN | single point on PBEsol structure; calculated total energy = -23.584 eV/atom; symmetry = Pm-3m, No. 221; energy of formation from the pure elements = -137 meV per atom; V = 143 Å³/cell
1.0
5.225 0.000 0.000
0.000 5.225 0.000
0.000 0.000 5.225
Y Zn As
3 1 1
Direct
0.000 0.000 0.500 Y
0.000 0.500 0.000 Y
0.500 0.000 0.000 Y
0.000 0.000 0.000 Zn
0.500 0.500 0.500 As



[3]
Y2ZnAs2 | Alexandria via LeMat-Bulk | meta-GGA SCAN | single point on PBEsol structure; calculated total energy = -23.008 eV/atom; symmetry = P4/mbm, No. 127; energy of formation from the pure elements = -1092 meV per atom; V = 211 Å³/cell
1.0
7.413 0.000 0.000
0.000 7.413 0.000
0.000 0.000 3.833
Y Zn As
4 2 4
Direct
0.158 0.342 0.000 Y
0.342 0.842 0.000 Y
0.658 0.158 0.000 Y
0.842 0.658 0.000 Y
0.000 0.000 0.500 Zn
0.500 0.500 0.500 Zn
0.152 0.652 0.500 As
0.348 0.152 0.500 As
0.652 0.848 0.500 As
0.848 0.348 0.500 As



[4]
YZnAs2 | Alexandria via LeMat-Bulk | meta-GGA SCAN | single point on PBEsol structure; calculated total energy = -21.115 eV/atom; symmetry = I-42d, No. 122; energy of formation from the pure elements = -680 meV per atom; V = 330 Å³/cell
1.0
7.082 0.000 0.000
0.000 7.082 0.000
0.000 0.000 6.575
Y Zn As
4 4 8
Direct
0.000 0.000 0.000 Y
0.000 0.500 0.250 Y
0.500 0.000 0.750 Y
0.500 0.500 0.500 Y
0.000 0.000 0.500 Zn
0.000 0.500 0.750 Zn
0.500 0.000 0.250 Zn
0.500 0.500 0.000 Zn
0.205 0.250 0.625 As
0.250 0.705 0.875 As
0.250 0.795 0.375 As
0.295 0.250 0.125 As
0.705 0.750 0.125 As
0.750 0.205 0.375 As
0.750 0.295 0.875 As
0.795 0.750 0.625 As



[5]
YZnAs2 | Alexandria via LeMat-Bulk | meta-GGA SCAN | single point on PBEsol structure; calculated total energy = -21.091 eV/atom; symmetry = Pm, No. 6; energy of formation from the pure elements = -656 meV per atom; V = 81 Å³/cell
1.0
3.897 0.000 0.000
0.000 4.028 0.000
-1.156 0.000 5.175
Y Zn As
1 1 2
Direct
0.000 0.000 0.000 Y
0.040 0.500 0.485 Zn
0.480 0.500 0.908 As
0.623 0.000 0.435 As



[6]
YZnAs2 | Alexandria via LeMat-Bulk | meta-GGA SCAN | single point on PBEsol structure; calculated total energy = -21.068 eV/atom; symmetry = P4/mmm, No. 123; energy of formation from the pure elements = -633 meV per atom; V = 76 Å³/cell
1.0
4.446 0.000 0.000
0.000 4.446 0.000
0.000 0.000 3.839
Y Zn As
1 1 2
Direct
0.000 0.000 0.000 Y
0.500 0.500 0.000 Zn
0.000 0.500 0.500 As
0.500 0.000 0.500 As



[7]
YZn2As | Alexandria via LeMat-Bulk | meta-GGA SCAN | single point on PBEsol structure; calculated total energy = -19.022 eV/atom; symmetry = F-43m, No. 216; energy of formation from the pure elements = -256 meV per atom; V = 305 Å³/cell
1.0
6.732 0.000 0.000
0.000 6.732 0.000
0.000 0.000 6.732
Y Zn As
4 8 4
Direct
0.000 0.000 0.000 Y
0.000 0.500 0.500 Y
0.500 0.000 0.500 Y
0.500 0.500 0.000 Y
0.000 0.000 0.500 Zn
0.000 0.500 0.000 Zn
0.250 0.250 0.750 Zn
0.250 0.750 0.250 Zn
0.500 0.000 0.000 Zn
0.500 0.500 0.500 Zn
0.750 0.250 0.250 Zn
0.750 0.750 0.750 Zn
0.250 0.250 0.250 As
0.250 0.750 0.750 As
0.750 0.250 0.750 As
0.750 0.750 0.250 As



[8]
YZnAs | Alexandria via LeMat-Bulk | meta-GGA SCAN | single point on PBEsol structure; calculated total energy = -21.381 eV/atom; symmetry = P3m1, No. 156; energy of formation from the pure elements = -865 meV per atom; V = 59 Å³/cell
1.0
4.122 0.000 0.000
-2.061 3.570 0.000
0.000 0.000 4.000
Y Zn As
1 1 1
Direct
0.000 0.000 0.000 Y
0.667 0.333 0.411 Zn
0.333 0.667 0.550 As



[9]
Y2ZnAs | Alexandria via LeMat-Bulk | meta-GGA SCAN | single point on PBEsol structure; relative energy among the computed polymorphs = 146 meV/atom; calculated total energy = -23.201 eV/atom; symmetry = P4/mmm, No. 123; energy of formation from the pure elements = -853 meV per atom; V = 86 Å³/cell
1.0
3.634 0.000 0.000
0.000 3.634 0.000
0.000 0.000 6.510
Y Zn As
2 1 1
Direct
0.000 0.000 0.242 Y
0.000 0.000 0.758 Y
0.500 0.500 0.500 Zn
0.500 0.500 0.000 As



[10]
YZn2As | Alexandria via LeMat-Bulk | meta-GGA SCAN | single point on PBEsol structure; calculated total energy = -19.332 eV/atom; symmetry = P4/mmm, No. 123; energy of formation from the pure elements = -566 meV per atom; V = 74 Å³/cell
1.0
4.022 0.000 0.000
0.000 4.022 0.000
0.000 0.000 4.552
Y Zn As
1 2 1
Direct
0.000 0.000 0.000 Y
0.000 0.500 0.500 Zn
0.500 0.000 0.500 Zn
0.500 0.500 0.000 As



[11]
YZn2As | Alexandria via LeMat-Bulk | meta-GGA SCAN | single point on PBEsol structure; calculated total energy = -19.305 eV/atom; symmetry = R3m, No. 160; energy of formation from the pure elements = -539 meV per atom; V = 229 Å³/cell
1.0
4.224 0.000 0.000
-2.112 3.658 0.000
0.000 0.000 14.847
Y Zn As
3 6 3
Direct
0.000 0.000 0.000 Y
0.333 0.667 0.667 Y
0.667 0.333 0.333 Y
0.000 0.000 0.472 Zn
0.000 0.000 0.773 Zn
0.333 0.667 0.139 Zn
0.333 0.667 0.440 Zn
0.667 0.333 0.106 Zn
0.667 0.333 0.805 Zn
0.000 0.000 0.217 As
0.333 0.667 0.884 As
0.667 0.333 0.550 As



[12]
Y2ZnAs | Alexandria via LeMat-Bulk | meta-GGA SCAN | single point on PBEsol structure; relative energy among the computed polymorphs = 46 meV/atom; calculated total energy = -23.300 eV/atom; symmetry = R-3m, No. 166; energy of formation from the pure elements = -952 meV per atom; V = 290 Å³/cell
1.0
3.991 0.000 0.000
-1.996 3.457 0.000
0.000 0.000 21.057
Y Zn As
6 3 3
Direct
0.000 0.000 0.243 Y
0.000 0.000 0.757 Y
0.333 0.667 0.424 Y
0.333 0.667 0.910 Y
0.667 0.333 0.090 Y
0.667 0.333 0.576 Y
0.000 0.000 0.000 Zn
0.333 0.667 0.667 Zn
0.667 0.333 0.333 Zn
0.000 0.000 0.500 As
0.333 0.667 0.167 As
0.667 0.333 0.833 As



Q: The lowest calculated total energy belongs to which entry?
A: Y3ZnAs